# 1
The following is a PBE calculation of a geometry-optimized LaSi2PtRh2 structure, from the Alexandria database.

a = 4.5500 Å, b = 4.5500 Å, c = 5.6673 Å
α = 90.00°, β = 90.00°, γ = 90.00°
Positions (direct):
La1 0.0000 0.0000 0.0000
Si1 0.0000 0.5000 0.5000
Si2 0.5000 0.0000 0.5000
Pt1 0.0000 0.0000 0.5000
Rh1 0.5000 0.5000 0.2543
Rh2 0.5000 0.5000 0.7457

Summary:
V in Å³/atom: 19.6
VASP energy in eV/atom: -6.51

---

# 2
The following is a PBE calculation of a geometry-optimized La2Sn4Pt3Rh structure, from the Alexandria database.

a = 4.6044 Å, b = 4.6044 Å, c = 10.7955 Å
α = 90.00°, β = 90.00°, γ = 90.00°
Positions (direct):
La1 0.0000 0.5000 0.2441
La2 0.5000 0.0000 0.7559
Sn1 0.0000 0.0000 0.5000
Sn2 0.0000 0.5000 0.8748
Sn3 0.5000 0.0000 0.1252
Sn4 0.5000 0.5000 0.5000
Pt1 0.0000 0.0000 0.0000
Pt2 0.0000 0.5000 0.6320
Pt3 0.5000 0.0000 0.3680
Rh1 0.5000 0.5000 0.0000

Summary:
V in Å³/atom: 22.9
Formation enthalpy at 0 K in eV per atom: -0.87
VASP energy in eV/atom: -6.01

---

# 3
The following is a PBE calculation of a geometry-optimized La2Sn3Pt4Rh structure, from the Alexandria database.

a = 4.1964 Å, b = 4.1964 Å, c = 12.4251 Å
α = 90.00°, β = 90.00°, γ = 90.00°
Positions (direct):
La1 0.0000 0.5000 0.2240
La2 0.5000 0.0000 0.7760
Sn1 0.0000 0.0000 0.0000
Sn2 0.0000 0.5000 0.6335
Sn3 0.5000 0.0000 0.3665
Pt1 0.0000 0.0000 0.5000
Pt2 0.0000 0.5000 0.8455
Pt3 0.5000 0.0000 0.1545
Pt4 0.5000 0.5000 0.5000
Rh1 0.5000 0.5000 0.0000

Summary:
V in Å³/atom: 21.9
Formation enthalpy at 0 K in eV per atom: -0.80
VASP energy in eV/atom: -6.13